# KPmPd2 (PBE-GGA, optimized geometry)
# Total energy = -4.479 eV/atom
# E_form = -0.420 eV/atom
# Fermi-level density of states = 0.50 states/eV per atom
# V = 105.4 Å³ per cell
# Total magnetic moment = 0.00 μB/f.u.
data_KPmPd2
_symmetry_space_group_name_H-M 'P 1'
_symmetry_Int_Tables_number 1
_cell_length_a 3.618
_cell_length_b 3.618
_cell_length_c 8.048
_cell_angle_alpha 90.00
_cell_angle_beta 90.00
_cell_angle_gamma 90.00
loop_
_symmetry_equiv_pos_as_xyz
'x,y,z'
loop_
_atom_site_label
_atom_site_type_symbol
_atom_site_fract_x
_atom_site_fract_y
_atom_site_fract_z
Pd1 Pd 0.000 0.000 0.195
K1 K 0.500 0.500 0.500
Pm1 Pm 0.500 0.500 0.000
Pd2 Pd 0.000 0.000 0.805